No. 1
! PBE La3Si2Ru, optimized geometry; values from VASP
! Raw formation energy in eV per atom: -0.643
! D(E_F) in states/eV per atom: 0.9085
! Symmetry: Pnma
&SYSTEM
  ibrav = 0, nat = 24, ntyp = 3
/
ATOMIC_SPECIES
Si 28.09 Si.upf
Ru 101.07 Ru.upf
La 138.91 La.upf
CELL_PARAMETERS angstrom
4.385 0.000 0.000
0.000 11.613 0.000
0.000 0.000 12.170
ATOMIC_POSITIONS crystal
Si 0.250 0.811 0.971
Si 0.250 0.689 0.471
Si 0.250 0.483 0.793
Si 0.750 0.189 0.029
Si 0.750 0.983 0.707
Si 0.750 0.517 0.207
Si 0.750 0.311 0.529
Si 0.250 0.017 0.293
Ru 0.750 0.652 0.376
Ru 0.750 0.848 0.876
Ru 0.250 0.152 0.124
Ru 0.250 0.348 0.624
La 0.750 0.208 0.287
La 0.250 0.792 0.713
La 0.750 0.616 0.938
La 0.750 0.553 0.618
La 0.250 0.384 0.062
La 0.250 0.708 0.213
La 0.750 0.947 0.118
La 0.750 0.292 0.787
La 0.250 0.447 0.382
La 0.750 0.884 0.438
La 0.250 0.116 0.562
La 0.250 0.053 0.882

No. 2
! PBE SrLaSi2Ru, optimized geometry; values from VASP
! Raw formation energy in eV per atom: 1.858
! D(E_F) in states/eV per atom: 1.6805
! Symmetry: P4/mmm
&SYSTEM
  ibrav = 0, nat = 5, ntyp = 4
/
ATOMIC_SPECIES
Si 28.09 Si.upf
Sr 87.62 Sr.upf
La 138.91 La.upf
Ru 101.07 Ru.upf
CELL_PARAMETERS angstrom
5.311 0.000 0.000
0.000 6.125 0.000
0.000 0.000 5.311
ATOMIC_POSITIONS crystal
Si 0.500 0.000 0.000
Si 0.000 0.000 0.500
Sr 0.000 0.500 0.000
La 0.000 0.000 0.000
Ru 0.500 0.500 0.500

No. 3
! PBE SrLa2SiRu, optimized geometry; values from VASP
! Raw formation energy in eV per atom: -0.184
! D(E_F) in states/eV per atom: 0.7435
! Symmetry: P4/mmm
&SYSTEM
  ibrav = 0, nat = 5, ntyp = 4
/
ATOMIC_SPECIES
Ru 101.07 Ru.upf
Sr 87.62 Sr.upf
Si 28.09 Si.upf
La 138.91 La.upf
CELL_PARAMETERS angstrom
-4.526 -1.064 -3.080
-0.865 -4.690 2.891
-2.752 2.474 3.190
ATOMIC_POSITIONS crystal
Ru 0.000 0.000 0.000
Sr 0.500 0.500 0.500
Si 0.000 0.000 0.500
La 0.500 0.000 0.000
La 0.000 0.500 0.000

No. 4
! PBE Sr2LaSiRu, optimized geometry; values from VASP
! Raw formation energy in eV per atom: 0.196
! D(E_F) in states/eV per atom: 0.9341
! Symmetry: P4/mmm
&SYSTEM
  ibrav = 0, nat = 5, ntyp = 4
/
ATOMIC_SPECIES
Ru 101.07 Ru.upf
Si 28.09 Si.upf
Sr 87.62 Sr.upf
La 138.91 La.upf
CELL_PARAMETERS angstrom
-3.679 -0.257 4.383
1.025 -4.612 0.590
4.214 1.399 3.619
ATOMIC_POSITIONS crystal
Ru 0.000 0.000 0.000
Si 0.000 0.500 0.000
Sr 0.000 0.000 0.500
Sr 0.500 0.000 0.000
La 0.500 0.500 0.500